Record 1
{
  "formula": "In2Ni2Se",
  "functional": "GGA-PBE",
  "state": "optimized geometry",
  "lattice_angstrom": [[6.857, 0.000, 0.000], [0.000, 6.857, 0.000], [0.000, 0.000, 3.702]],
  "species": ["In", "In", "In", "In", "Ni", "Ni", "Ni", "Ni", "Se", "Se"],
  "frac_coords": [[0.161, 0.339, 0.000], [0.339, 0.839, 0.000], [0.661, 0.161, 0.000], [0.839, 0.661, 0.000], [0.137, 0.637, 0.500], [0.363, 0.137, 0.500], [0.637, 0.863, 0.500], [0.863, 0.363, 0.500], [0.000, 0.000, 0.500], [0.500, 0.500, 0.500]],
  "m_tot_mub_per_cell": 0.0,
  "sg": "P4/mbm (127)",
  "dos_at_fermi_per_ev_atom": 0.60,
  "raw_formation_energy_ev_per_atom": -0.03,
  "mass_density_kg_m3": 8128
}

---

Record 2
{
  "formula": "Nd2HoTm3Sb6",
  "functional": "GGA-PBE",
  "state": "optimized geometry",
  "lattice_angstrom": [[9.597, -2.204, 0.000], [9.597, 2.204, 0.000], [-2.005, 0.000, 8.576]],
  "species": ["Nd", "Nd", "Ho", "Tm", "Tm", "Tm", "Sb", "Sb", "Sb", "Sb", "Sb", "Sb"],
  "frac_coords": [[0.166, 0.166, 0.332], [0.834, 0.834, 0.668], [0.500, 0.500, 0.000], [0.168, 0.168, 0.834], [0.500, 0.500, 0.500], [0.832, 0.832, 0.166], [0.004, 0.004, 0.750], [0.333, 0.333, 0.926], [0.336, 0.336, 0.410], [0.664, 0.664, 0.590], [0.667, 0.667, 0.074], [0.996, 0.996, 0.250]],
  "m_tot_mub_per_cell": 0.0,
  "sg": "C2/m (12)",
  "dos_at_fermi_per_ev_atom": 0.16,
  "raw_formation_energy_ev_per_atom": -1.11,
  "mass_density_kg_m3": 7739
}

---

Record 3
{
  "formula": "Tb2PrY3Ho6",
  "functional": "GGA-PBE",
  "state": "optimized geometry",
  "lattice_angstrom": [[3.083, -5.335, 0.000], [3.083, 5.335, 0.000], [-2.046, 0.000, 11.608]],
  "species": ["Tb", "Tb", "Pr", "Y", "Y", "Y", "Ho", "Ho", "Ho", "Ho", "Ho", "Ho"],
  "frac_coords": [[0.167, 0.833, 0.000], [0.833, 0.167, 0.000], [0.500, 0.500, 0.000], [0.000, 0.000, 0.500], [0.333, 0.667, 0.500], [0.667, 0.333, 0.500], [0.082, 0.416, 0.749], [0.250, 0.250, 0.251], [0.416, 0.082, 0.749], [0.584, 0.918, 0.251], [0.750, 0.750, 0.749], [0.918, 0.584, 0.251]],
  "m_tot_mub_per_cell": 0.0,
  "sg": "C2/m (12)",
  "dos_at_fermi_per_ev_atom": 1.36,
  "dft_energy_ev_per_cell": -60.657,
  "mass_density_kg_m3": 7458
}

---

Record 4
{
  "formula": "Ac2GaP",
  "functional": "GGA-PBE",
  "state": "optimized geometry",
  "lattice_angstrom": [[3.872, 0.000, 0.000], [0.000, 3.872, 0.000], [0.000, 0.000, 7.573]],
  "species": ["Ac", "Ac", "Ga", "P"],
  "frac_coords": [[0.000, 0.000, 0.232], [0.000, 0.000, 0.768], [0.500, 0.500, 0.500], [0.500, 0.500, 0.000]],
  "m_tot_mub_per_cell": 0.0,
  "sg": "P4/mmm (123)",
  "dos_at_fermi_per_ev_atom": 0.45,
  "dft_energy_ev_per_cell": -19.615,
  "mass_density_kg_m3": 8115
}

---

Record 5
{
  "formula": "Cs2TlF",
  "functional": "GGA-PBE",
  "state": "optimized geometry",
  "lattice_angstrom": [[-4.391, 4.391, 5.127], [4.391, -4.391, 5.127], [4.391, 4.391, -5.127]],
  "species": ["Cs", "Cs", "Cs", "Cs", "Tl", "Tl", "F", "F"],
  "frac_coords": [[0.009, 0.125, 0.384], [0.375, 0.991, 0.116], [0.741, 0.625, 0.616], [0.875, 0.259, 0.884], [0.250, 0.750, 0.500], [0.500, 0.500, 0.000], [0.000, 0.000, 0.000], [0.750, 0.250, 0.500]],
  "m_tot_mub_per_cell": 0.0,
  "sg": "I-42d (122)",
  "dos_at_fermi_per_ev_atom": 0.93,
  "raw_formation_energy_ev_per_atom": -1.16,
  "mass_density_kg_m3": 4109
}

---

Record 6
{
  "formula": "Li3YHo2Te6",
  "functional": "GGA-PBE",
  "state": "optimized geometry",
  "lattice_angstrom": [[3.753, -6.500, 0.000], [3.753, 6.500, 0.000], [-2.503, 0.000, 7.058]],
  "species": ["Li", "Li", "Li", "Y", "Ho", "Ho", "Te", "Te", "Te", "Te", "Te", "Te"],
  "frac_coords": [[0.000, 0.000, 0.000], [0.334, 0.666, 0.000], [0.666, 0.334, 0.000], [0.500, 0.500, 0.500], [0.167, 0.833, 0.500], [0.833, 0.167, 0.500], [0.080, 0.415, 0.245], [0.250, 0.250, 0.755], [0.415, 0.080, 0.245], [0.585, 0.920, 0.755], [0.750, 0.750, 0.245], [0.920, 0.585, 0.755]],
  "m_tot_mub_per_cell": 0.0,
  "sg": "C2/m (12)",
  "raw_formation_energy_ev_per_atom": -1.29,
  "mass_density_kg_m3": 5812
}

---

Record 7
{
  "formula": "Zr2PdC",
  "functional": "GGA-PBE",
  "state": "optimized geometry",
  "lattice_angstrom": [[1.640, 0.947, 7.084], [-1.640, 0.947, 7.084], [0.000, -1.894, 7.084]],
  "species": ["Zr", "Zr", "Pd", "C"],
  "frac_coords": [[0.229, 0.229, 0.229], [0.771, 0.771, 0.771], [0.000, 0.000, 0.000], [0.500, 0.500, 0.500]],
  "m_tot_mub_per_cell": 0.0,
  "sg": "R-3m (166)",
  "dos_at_fermi_per_ev_atom": 0.67,
  "dft_energy_ev_per_cell": -34.098,
  "mass_density_kg_m3": 7570
}

---

Record 8
{
  "formula": "LiCrCd2S",
  "functional": "GGA-PBE",
  "state": "optimized geometry",
  "lattice_angstrom": [[5.267, 0.000, 0.000], [0.000, 5.267, 0.000], [0.000, 0.000, 4.314]],
  "species": ["Li", "Cr", "Cd", "Cd", "S"],
  "frac_coords": [[0.000, 0.000, 0.000], [0.500, 0.500, 0.000], [0.000, 0.500, 0.500], [0.500, 0.000, 0.500], [0.000, 0.000, 0.500]],
  "m_tot_mub_per_cell": 4.9,
  "sg": "P4/mmm (123)",
  "dos_at_fermi_per_ev_atom": 0.42,
  "raw_formation_energy_ev_per_atom": 0.29,
  "mass_density_kg_m3": 4382
}

---

Record 9
{
  "formula": "Ba3SrPt2",
  "functional": "GGA-PBE",
  "state": "optimized geometry",
  "lattice_angstrom": [[9.842, -2.301, 0.000], [9.842, 2.301, 0.000], [-8.955, 0.000, 11.742]],
  "species": ["Ba", "Ba", "Ba", "Ba", "Ba", "Ba", "Sr", "Sr", "Pt", "Pt", "Pt", "Pt"],
  "frac_coords": [[0.060, 0.060, 0.197], [0.186, 0.186, 0.554], [0.310, 0.310, 0.946], [0.690, 0.690, 0.054], [0.814, 0.814, 0.446], [0.940, 0.940, 0.803], [0.441, 0.441, 0.301], [0.559, 0.559, 0.699], [0.124, 0.124, 0.870], [0.375, 0.375, 0.624], [0.625, 0.625, 0.376], [0.876, 0.876, 0.130]],
  "m_tot_mub_per_cell": 0.0,
  "sg": "C2/m (12)",
  "dos_at_fermi_per_ev_atom": 0.39,
  "dft_energy_ev_per_cell": -46.716,
  "mass_density_kg_m3": 5557
}

---

Record 10
{
  "formula": "BeRhCl2",
  "functional": "GGA-PBE",
  "state": "optimized geometry",
  "lattice_angstrom": [[2.904, 0.000, 0.000], [0.000, 2.904, 0.000], [0.000, 0.000, 7.429]],
  "species": ["Be", "Rh", "Cl", "Cl"],
  "frac_coords": [[0.000, 0.000, 0.000], [0.000, 0.000, 0.500], [0.500, 0.500, 0.193], [0.500, 0.500, 0.807]],
  "m_tot_mub_per_cell": 1.0,
  "sg": "P4/mmm (123)",
  "dos_at_fermi_per_ev_atom": 0.72,
  "raw_formation_energy_ev_per_atom": 0.49,
  "mass_density_kg_m3": 4845
}

---

Record 11
{
  "formula": "Cr2HRh",
  "functional": "GGA-PBE",
  "state": "optimized geometry",
  "lattice_angstrom": [[1.333, 0.769, 6.407], [-1.333, 0.769, 6.407], [0.000, -1.539, 6.407]],
  "species": ["Cr", "Cr", "H", "Rh"],
  "frac_coords": [[0.000, 0.000, 0.000], [0.218, 0.218, 0.218], [0.611, 0.611, 0.611], [0.442, 0.442, 0.442]],
  "m_tot_mub_per_cell": 0.0,
  "sg": "R3m (160)",
  "dos_at_fermi_per_ev_atom": 0.95,
  "dft_energy_ev_per_cell": -29.977,
  "mass_density_kg_m3": 8759
}

---

Record 12
{
  "formula": "LiYO3",
  "functional": "GGA-PBE",
  "state": "optimized geometry",
  "lattice_angstrom": [[3.634, 0.000, 0.000], [0.000, 3.634, 0.000], [0.000, 0.000, 3.634]],
  "species": ["Li", "Y", "O", "O", "O"],
  "frac_coords": [[0.000, 0.000, 0.000], [0.500, 0.500, 0.500], [0.000, 0.000, 0.500], [0.000, 0.500, 0.000], [0.500, 0.000, 0.000]],
  "m_tot_mub_per_cell": 2.0,
  "sg": "Pm-3m (221)",
  "dos_at_fermi_per_ev_atom": 0.44,
  "raw_formation_energy_ev_per_atom": -1.81,
  "mass_density_kg_m3": 4978
}

---

Record 13
{
  "formula": "NiBrCl2",
  "functional": "GGA-PBE",
  "state": "optimized geometry",
  "lattice_angstrom": [[1.776, 1.025, 8.183], [-1.776, 1.025, 8.183], [0.000, -2.051, 8.183]],
  "species": ["Ni", "Br", "Cl", "Cl"],
  "frac_coords": [[0.000, 0.000, 0.000], [0.725, 0.725, 0.725], [0.283, 0.283, 0.283], [0.490, 0.490, 0.490]],
  "m_tot_mub_per_cell": 1.0,
  "sg": "R3m (160)",
  "dos_at_fermi_per_ev_atom": 1.00,
  "raw_formation_energy_ev_per_atom": -0.09,
  "mass_density_kg_m3": 3891
}

---

Record 14
{
  "formula": "HfTcNi",
  "functional": "GGA-PBE",
  "state": "optimized geometry",
  "lattice_angstrom": [[-1.814, 1.814, 7.227], [1.814, -1.814, 7.227], [1.814, 1.814, -7.227]],
  "species": ["Hf", "Hf", "Tc", "Tc", "Ni", "Ni"],
  "frac_coords": [[0.175, 0.175, 0.000], [0.825, 0.825, 0.000], [0.000, 0.500, 0.500], [0.500, 0.000, 0.500], [0.363, 0.363, 0.000], [0.637, 0.637, 0.000]],
  "m_tot_mub_per_cell": 0.0,
  "sg": "I4/mmm (139)",
  "dos_at_fermi_per_ev_atom": 0.75,
  "dft_energy_ev_per_cell": -53.766,
  "mass_density_kg_m3": 11702
}

---

Record 15
{
  "formula": "RbInO2",
  "functional": "GGA-PBE",
  "state": "optimized geometry",
  "lattice_angstrom": [[6.843, 0.000, 0.000], [0.000, 3.289, 0.000], [0.000, 0.000, 14.106]],
  "species": ["Rb", "Rb", "Rb", "Rb", "In", "In", "In", "In", "O", "O", "O", "O", "O", "O", "O", "O"],
  "frac_coords": [[0.076, 0.250, 0.130], [0.424, 0.750, 0.630], [0.576, 0.250, 0.370], [0.924, 0.750, 0.870], [0.050, 0.750, 0.406], [0.450, 0.250, 0.906], [0.550, 0.750, 0.094], [0.950, 0.250, 0.594], [0.017, 0.750, 0.683], [0.196, 0.250, 0.491], [0.304, 0.750, 0.991], [0.483, 0.250, 0.183], [0.517, 0.750, 0.817], [0.696, 0.250, 0.009], [0.804, 0.750, 0.509], [0.983, 0.250, 0.317]],
  "m_tot_mub_per_cell": 0.0,
  "sg": "Pnma (62)",
  "dos_at_fermi_per_ev_atom": 0.00,
  "raw_formation_energy_ev_per_atom": -1.39,
  "mass_density_kg_m3": 4859
}

---

Record 16
{
  "formula": "CeTlAs2O8",
  "functional": "GGA-PBE",
  "state": "optimized geometry",
  "lattice_angstrom": [[5.568, 0.000, 0.000], [-2.784, 4.822, 0.000], [0.000, 0.000, 8.102]],
  "species": ["Ce", "Tl", "As", "As", "O", "O", "O", "O", "O", "O", "O", "O"],
  "frac_coords": [[0.000, 0.000, 0.000], [0.000, 0.000, 0.500], [0.333, 0.667, 0.245], [0.667, 0.333, 0.755], [0.084, 0.347, 0.174], [0.263, 0.916, 0.174], [0.333, 0.667, 0.458], [0.347, 0.263, 0.826], [0.653, 0.737, 0.174], [0.667, 0.333, 0.542], [0.737, 0.084, 0.826], [0.916, 0.653, 0.826]],
  "m_tot_mub_per_cell": 1.0,
  "sg": "P-3 (147)",
  "dos_at_fermi_per_ev_atom": 0.53,
  "raw_formation_energy_ev_per_atom": -1.58,
  "mass_density_kg_m3": 4751
}

---

Record 17
{
  "formula": "Ba2Tl7Au",
  "functional": "GGA-PBE",
  "state": "optimized geometry",
  "lattice_angstrom": [[22.287, 0.000, 0.000], [0.000, 5.275, 0.000], [0.000, 0.000, 10.854]],
  "species": ["Ba", "Ba", "Ba", "Ba", "Ba", "Ba", "Ba", "Ba", "Tl", "Tl", "Tl", "Tl", "Tl", "Tl", "Tl", "Tl", "Tl", "Tl", "Tl", "Tl", "Tl", "Tl", "Tl", "Tl", "Tl", "Tl", "Tl", "Tl", "Tl", "Tl", "Tl", "Tl", "Tl", "Tl", "Tl", "Tl", "Au", "Au", "Au", "Au"],
  "frac_coords": [[0.046, 0.250, 0.243], [0.211, 0.250, 0.989], [0.289, 0.750, 0.489], [0.454, 0.750, 0.743], [0.546, 0.250, 0.257], [0.711, 0.250, 0.511], [0.789, 0.750, 0.011], [0.954, 0.750, 0.757], [0.044, 0.250, 0.588], [0.052, 0.250, 0.886], [0.089, 0.750, 0.030], [0.108, 0.750, 0.460], [0.143, 0.750, 0.754], [0.195, 0.250, 0.627], [0.210, 0.250, 0.329], [0.290, 0.750, 0.829], [0.305, 0.750, 0.127], [0.357, 0.250, 0.254], [0.392, 0.250, 0.960], [0.411, 0.250, 0.530], [0.448, 0.750, 0.386], [0.456, 0.750, 0.088], [0.544, 0.250, 0.912], [0.552, 0.250, 0.614], [0.589, 0.750, 0.470], [0.608, 0.750, 0.040], [0.643, 0.750, 0.746], [0.695, 0.250, 0.873], [0.710, 0.250, 0.171], [0.790, 0.750, 0.671], [0.805, 0.750, 0.373], [0.857, 0.250, 0.246], [0.892, 0.250, 0.540], [0.911, 0.250, 0.970], [0.948, 0.750, 0.114], [0.956, 0.750, 0.412], [0.178, 0.750, 0.224], [0.322, 0.250, 0.724], [0.678, 0.750, 0.276], [0.822, 0.250, 0.776]],
  "m_tot_mub_per_cell": 0.0,
  "sg": "Pnma (62)",
  "dos_at_fermi_per_ev_atom": 0.43,
  "dft_energy_ev_per_cell": -106.443,
  "mass_density_kg_m3": 9902
}

---

Record 18
{
  "formula": "U6Mo",
  "functional": "GGA-PBE",
  "state": "optimized geometry",
  "lattice_angstrom": [[-3.536, 3.536, 3.536], [3.536, -3.536, 3.536], [3.536, 3.536, -3.536]],
  "species": ["U", "U", "U", "U", "U", "U", "Mo"],
  "frac_coords": [[0.250, 0.500, 0.750], [0.250, 0.750, 0.500], [0.500, 0.250, 0.750], [0.500, 0.750, 0.250], [0.750, 0.250, 0.500], [0.750, 0.500, 0.250], [0.000, 0.000, 0.000]],
  "m_tot_mub_per_cell": 0.5,
  "sg": "Im-3m (229)",
  "dos_at_fermi_per_ev_atom": 3.01,
  "dft_energy_ev_per_cell": -68.439,
  "mass_density_kg_m3": 14317
}

---

Record 19
{
  "formula": "TmMg4Pb3",
  "functional": "GGA-PBE",
  "state": "optimized geometry",
  "lattice_angstrom": [[4.885, 0.000, 0.000], [-0.228, 6.413, 0.000], [-0.049, -1.192, 6.470]],
  "species": ["Tm", "Mg", "Mg", "Mg", "Mg", "Pb", "Pb", "Pb"],
  "frac_coords": [[0.000, 0.000, 0.000], [0.498, 0.302, 0.298], [0.498, 0.801, 0.285], [0.506, 0.282, 0.796], [0.985, 0.581, 0.565], [0.003, 0.509, 0.087], [0.491, 0.771, 0.773], [0.996, 0.093, 0.506]],
  "m_tot_mub_per_cell": 0.0,
  "sg": "P1 (1)",
  "dos_at_fermi_per_ev_atom": 0.45,
  "dft_energy_ev_per_cell": -23.142,
  "mass_density_kg_m3": 7274
}

---

Record 20
{
  "formula": "Li4AcAl2",
  "functional": "GGA-PBE",
  "state": "optimized geometry",
  "lattice_angstrom": [[4.473, -3.538, 0.000], [4.473, 3.538, 0.000], [-3.429, 0.000, 4.423]],
  "species": ["Li", "Li", "Li", "Li", "Ac", "Al", "Al"],
  "frac_coords": [[0.000, 0.376, 0.187], [0.000, 0.624, 0.813], [0.376, 0.000, 0.187], [0.624, 0.000, 0.813], [0.000, 0.000, 0.500], [0.498, 0.498, 0.748], [0.502, 0.502, 0.252]],
  "m_tot_mub_per_cell": 0.0,
  "sg": "C2/m (12)",
  "dos_at_fermi_per_ev_atom": 0.50,
  "dft_energy_ev_per_cell": -20.003,
  "mass_density_kg_m3": 3662
}

---

Record 21
{
  "formula": "Tb8PrTh2",
  "functional": "GGA-PBE",
  "state": "optimized geometry",
  "lattice_angstrom": [[4.519, -8.110, 0.000], [4.519, 8.110, 0.000], [-3.309, 0.000, 4.980]],
  "species": ["Tb", "Tb", "Tb", "Tb", "Tb", "Tb", "Tb", "Tb", "Pr", "Th", "Th"],
  "frac_coords": [[0.101, 0.337, 0.679], [0.209, 0.791, 0.000], [0.337, 0.101, 0.679], [0.427, 0.427, 0.207], [0.573, 0.573, 0.793], [0.663, 0.899, 0.321], [0.791, 0.209, 0.000], [0.899, 0.663, 0.321], [0.000, 0.000, 0.000], [0.307, 0.693, 0.500], [0.693, 0.307, 0.500]],
  "m_tot_mub_per_cell": 0.0,
  "sg": "C2/m (12)",
  "dos_at_fermi_per_ev_atom": 1.37,
  "dft_energy_ev_per_cell": -54.492,
  "mass_density_kg_m3": 8537
}

---

Record 22
{
  "formula": "CoPd2Au2",
  "functional": "GGA-PBE",
  "state": "optimized geometry",
  "lattice_angstrom": [[6.473, 0.000, 0.000], [0.000, 6.473, 0.000], [0.000, 0.000, 4.081]],
  "species": ["Co", "Co", "Pd", "Pd", "Pd", "Pd", "Au", "Au", "Au", "Au"],
  "frac_coords": [[0.000, 0.000, 0.000], [0.500, 0.500, 0.000], [0.145, 0.355, 0.000], [0.355, 0.855, 0.000], [0.645, 0.145, 0.000], [0.855, 0.645, 0.000], [0.160, 0.660, 0.500], [0.340, 0.160, 0.500], [0.660, 0.840, 0.500], [0.840, 0.340, 0.500]],
  "m_tot_mub_per_cell": 5.6,
  "sg": "P4/mbm (127)",
  "dos_at_fermi_per_ev_atom": 0.98,
  "dft_energy_ev_per_cell": -45.302,
  "mass_density_kg_m3": 12930
}

---

Record 23
{
  "formula": "K2AsAuI6",
  "functional": "GGA-PBE",
  "state": "optimized geometry",
  "lattice_angstrom": [[8.357, 0.000, 0.000], [4.169, 7.250, 0.000], [4.173, 2.417, 7.076]],
  "species": ["K", "K", "As", "Au", "I", "I", "I", "I", "I", "I"],
  "frac_coords": [[0.000, 0.000, 0.000], [0.483, 0.484, 0.547], [0.718, 0.717, 0.846], [0.294, 0.292, 0.119], [0.019, 0.865, 0.639], [0.375, 0.560, 0.135], [0.476, 0.018, 0.639], [0.561, 0.928, 0.136], [0.865, 0.476, 0.639], [0.928, 0.376, 0.136]],
  "m_tot_mub_per_cell": 0.0,
  "sg": "P1 (1)",
  "dos_at_fermi_per_ev_atom": 0.00,
  "raw_formation_energy_ev_per_atom": -0.65,
  "mass_density_kg_m3": 4305
}